Arrangement A

This record from the Alexandria database describes a relaxed ReTcAs2 crystal. The functional is PBE-GGA.

abc: 7.965 3.002 5.235
angles: 90.00 102.95 90.00
Space group C2/m (No. 12)
Asymmetric unit:
Re: 0.000 0.000 0.000
Tc: 0.000 0.500 0.500
As: 0.250 0.000 0.751

Values from the calculation:
Total magnetic moment = 0.00 μB per formula unit
Density of states at the Fermi level = 9.40 states/eV/cell



Arrangement B

This record from the Alexandria database describes a relaxed ReTcAs2 crystal. The functional is PBE-GGA.

abc: 8.774 3.121 4.652
angles: 90.00 107.42 90.00
Space group Cm (No. 8)
Asymmetric unit:
Re: 0.000 0.000 0.000
Tc: 0.256 0.000 0.594
As: 0.013 0.500 0.469
As: 0.241 0.500 0.120

Values from the calculation:
Total magnetic moment = 0.00 μB per formula unit
Density of states at the Fermi level = 6.09 states/eV/cell



Energy above the most stable structure, in meV/atom: arrangement A 158; arrangement B 0



Arrangement A

This record from the Alexandria database describes a relaxed ReTcAs crystal. The functional is PBE-GGA.

abc: 4.2654 4.2654 2.8478
angles: 90.00 90.00 120.00
Space group P-6m2 (No. 187)
Asymmetric unit:
Re: 0.0000 0.0000 0.0000
Tc: 0.6667 0.3333 0.5000
As: 0.3333 0.6667 0.0000

Values from the calculation:
Total magnetic moment = 0.00 μB per formula unit
Density of states at the Fermi level = 2.67 states/eV/cell



Arrangement B

This record from the Alexandria database describes a relaxed ReTcAs crystal. The functional is PBE-GGA.

abc: 2.969 2.969 9.969
angles: 90.00 90.00 90.00
Space group I4mm (No. 107)
Asymmetric unit:
Re: 0.000 0.000 0.000
Tc: 0.000 0.000 0.676
As: 0.000 0.000 0.337

Values from the calculation:
Total magnetic moment = 0.00 μB per formula unit
Density of states at the Fermi level = 4.28 states/eV/cell



Energy above the most stable structure, in meV/atom: arrangement A 84; arrangement B 0